[1]
A relaxed DyMnCuRh crystal. Source: the Alexandria database, functional PBE.

The structure belongs to space group F-43m (No. 216); the cell edges are 6.5181, 6.5181 and 6.5181 Å and the angles 90.00°, 90.00° and 90.00°. The distinct sites, in fractional coordinates, are Dy at (0.0000, 0.0000, 0.0000), Mn at (0.0000, 0.0000, 0.5000), Cu at (0.2500, 0.2500, 0.2500) and Rh at (0.2500, 0.2500, 0.7500).

The magnetic moment is 4.322 μB per formula unit. The calculation puts the density of states at the Fermi level at 13.4 states/eV per cell. The calculated formation energy comes out at -0.220 eV/atom.

[2]
A relaxed Hf3CrCu crystal. Source: the Alexandria database, functional PBE.

The structure belongs to space group Pm-3m (No. 221); the cell edges are 4.7666, 4.7666 and 4.7666 Å and the angles 90.00°, 90.00° and 90.00°. The distinct sites, in fractional coordinates, are Hf at (0.0000, 0.0000, 0.5000), Cr at (0.0000, 0.0000, 0.0000) and Cu at (0.5000, 0.5000, 0.5000).

The magnetic moment is 0.000 μB per formula unit. The energy above the lowest structure with this stoichiometry is 0 meV per atom. The calculation puts the density of states at the Fermi level at 5.2 states/eV per cell. The calculated formation energy comes out at 0.766 eV/atom.